No. 1
{
  "formula": "La2CdIr2",
  "functional": "PBE-GGA",
  "state": "optimized geometry",
  "lattice_angstrom": [[5.188, -2.842, 0.000], [5.188, 2.842, 0.000], [-2.803, 0.000, 8.142]],
  "species": ["La", "La", "La", "La", "Cd", "Cd", "Ir", "Ir", "Ir", "Ir"],
  "frac_coords": [[0.014, 0.697, 0.852], [0.303, 0.986, 0.648], [0.697, 0.014, 0.352], [0.986, 0.303, 0.148], [0.354, 0.646, 0.250], [0.646, 0.354, 0.750], [0.197, 0.517, 0.476], [0.483, 0.803, 0.024], [0.517, 0.197, 0.976], [0.803, 0.483, 0.524]],
  "e_form_mev_per_atom": -619,
  "space_group": "C2/c",
  "dos_ef_per_ev_atom": 0.431
}



No. 2
{
  "formula": "LaCd2Ir2",
  "functional": "PBE-GGA",
  "state": "optimized geometry",
  "lattice_angstrom": [[7.944, 0.000, 0.000], [0.000, 7.944, 0.000], [0.000, 0.000, 3.206]],
  "species": ["La", "La", "Cd", "Cd", "Cd", "Cd", "Ir", "Ir", "Ir", "Ir"],
  "frac_coords": [[0.000, 0.000, 0.000], [0.500, 0.500, 0.000], [0.130, 0.370, 0.500], [0.370, 0.870, 0.500], [0.630, 0.130, 0.500], [0.870, 0.630, 0.500], [0.168, 0.668, 0.000], [0.332, 0.168, 0.000], [0.668, 0.832, 0.000], [0.832, 0.332, 0.000]],
  "e_form_mev_per_atom": -138,
  "space_group": "P4/mbm",
  "dos_ef_per_ev_atom": 0.307
}



No. 3
{
  "formula": "La3Cd2Ir",
  "functional": "PBE-GGA",
  "state": "optimized geometry",
  "lattice_angstrom": [[5.559, 0.000, 0.000], [0.000, 3.933, 0.000], [-2.765, 0.000, 8.360]],
  "species": ["La", "La", "La", "Cd", "Cd", "Ir"],
  "frac_coords": [[0.000, 0.000, 0.000], [0.370, 0.500, 0.740], [0.630, 0.500, 0.260], [0.201, 0.000, 0.403], [0.799, 0.000, 0.597], [0.500, 0.000, 0.000]],
  "e_form_mev_per_atom": -463,
  "space_group": "P2/m",
  "dos_ef_per_ev_atom": 0.857
}



No. 4
{
  "formula": "La8Cd2Ir",
  "functional": "PBE-GGA",
  "state": "optimized geometry",
  "lattice_angstrom": [[9.343, -2.797, 0.000], [9.343, 2.797, 0.000], [-2.352, 0.000, 6.712]],
  "species": ["La", "La", "La", "La", "La", "La", "La", "La", "Cd", "Cd", "Ir"],
  "frac_coords": [[0.012, 0.012, 0.291], [0.207, 0.207, 0.772], [0.349, 0.349, 0.552], [0.410, 0.410, 0.085], [0.590, 0.590, 0.915], [0.651, 0.651, 0.448], [0.793, 0.793, 0.228], [0.988, 0.988, 0.709], [0.176, 0.176, 0.199], [0.824, 0.824, 0.801], [0.500, 0.500, 0.500]],
  "e_form_mev_per_atom": -253,
  "space_group": "C2/m",
  "dos_ef_per_ev_atom": 1.244
}



No. 5
{
  "formula": "La2CdIr2",
  "functional": "PBE-GGA",
  "state": "optimized geometry",
  "lattice_angstrom": [[-2.816, 2.816, 4.107], [2.816, -2.816, 4.107], [2.816, 2.816, -4.107]],
  "species": ["La", "La", "Cd", "Ir", "Ir"],
  "frac_coords": [[0.250, 0.750, 0.500], [0.750, 0.250, 0.500], [0.000, 0.000, 0.000], [0.336, 0.336, 0.000], [0.664, 0.664, 0.000]],
  "e_form_mev_per_atom": -430,
  "space_group": "I4/mmm",
  "dos_ef_per_ev_atom": 0.704
}



No. 6
{
  "formula": "La4CdIr",
  "functional": "PBE-GGA",
  "state": "optimized geometry",
  "lattice_angstrom": [[4.688, -7.745, 0.000], [4.688, 7.745, 0.000], [-3.927, 0.000, 5.872]],
  "species": ["La", "La", "La", "La", "La", "La", "La", "La", "Cd", "Cd", "Ir", "Ir"],
  "frac_coords": [[0.066, 0.643, 0.865], [0.188, 0.272, 0.722], [0.272, 0.188, 0.222], [0.357, 0.934, 0.635], [0.643, 0.066, 0.365], [0.728, 0.812, 0.778], [0.812, 0.728, 0.278], [0.934, 0.357, 0.135], [0.381, 0.619, 0.250], [0.619, 0.381, 0.750], [0.080, 0.920, 0.750], [0.920, 0.080, 0.250]],
  "e_form_mev_per_atom": -328,
  "space_group": "C2/c",
  "dos_ef_per_ev_atom": 1.210
}



No. 7
{
  "formula": "La23Cd4Ir7",
  "functional": "PBE-GGA",
  "state": "optimized geometry",
  "lattice_angstrom": [[10.191, 0.000, 0.000], [-5.095, 8.825, 0.000], [0.000, 0.000, 22.996]],
  "species": ["La", "La", "La", "La", "La", "La", "La", "La", "La", "La", "La", "La", "La", "La", "La", "La", "La", "La", "La", "La", "La", "La", "La", "La", "La", "La", "La", "La", "La", "La", "La", "La", "La", "La", "La", "La", "La", "La", "La", "La", "La", "La", "La", "La", "La", "La", "Cd", "Cd", "Cd", "Cd", "Cd", "Cd", "Cd", "Cd", "Ir", "Ir", "Ir", "Ir", "Ir", "Ir", "Ir", "Ir", "Ir", "Ir", "Ir", "Ir", "Ir", "Ir"],
  "frac_coords": [[0.000, 0.000, 0.049], [0.000, 0.000, 0.549], [0.079, 0.539, 0.139], [0.079, 0.539, 0.407], [0.127, 0.254, 0.687], [0.127, 0.873, 0.687], [0.203, 0.406, 0.835], [0.203, 0.797, 0.835], [0.206, 0.412, 0.272], [0.206, 0.413, 0.542], [0.206, 0.794, 0.272], [0.206, 0.794, 0.542], [0.207, 0.414, 0.000], [0.207, 0.793, 0.000], [0.254, 0.127, 0.187], [0.333, 0.667, 0.701], [0.406, 0.203, 0.335], [0.412, 0.206, 0.772], [0.413, 0.206, 0.042], [0.414, 0.207, 0.500], [0.461, 0.539, 0.139], [0.461, 0.539, 0.407], [0.461, 0.921, 0.139], [0.461, 0.921, 0.407], [0.539, 0.079, 0.639], [0.539, 0.079, 0.907], [0.539, 0.461, 0.639], [0.539, 0.461, 0.907], [0.586, 0.793, 0.000], [0.587, 0.794, 0.542], [0.588, 0.794, 0.272], [0.594, 0.797, 0.835], [0.667, 0.333, 0.201], [0.746, 0.873, 0.687], [0.793, 0.207, 0.500], [0.793, 0.586, 0.500], [0.794, 0.206, 0.042], [0.794, 0.206, 0.772], [0.794, 0.587, 0.042], [0.794, 0.588, 0.772], [0.797, 0.203, 0.335], [0.797, 0.594, 0.335], [0.873, 0.127, 0.187], [0.873, 0.746, 0.187], [0.921, 0.461, 0.639], [0.921, 0.461, 0.907], [0.000, 0.000, 0.301], [0.000, 0.000, 0.801], [0.106, 0.212, 0.415], [0.106, 0.894, 0.415], [0.212, 0.106, 0.915], [0.788, 0.894, 0.415], [0.894, 0.106, 0.915], [0.894, 0.788, 0.915], [0.039, 0.519, 0.765], [0.144, 0.288, 0.115], [0.144, 0.856, 0.115], [0.288, 0.144, 0.615], [0.333, 0.667, 0.918], [0.481, 0.519, 0.765], [0.481, 0.961, 0.765], [0.519, 0.039, 0.265], [0.519, 0.481, 0.265], [0.667, 0.333, 0.418], [0.712, 0.856, 0.115], [0.856, 0.144, 0.615], [0.856, 0.712, 0.615], [0.961, 0.481, 0.265]],
  "e_form_mev_per_atom": -514,
  "space_group": "P6_3mc",
  "dos_ef_per_ev_atom": 0.935
}



No. 8
{
  "formula": "La7Cd2Ir2",
  "functional": "PBE-GGA",
  "state": "optimized geometry",
  "lattice_angstrom": [[-1.997, 7.936, 5.398], [1.997, -7.936, 5.398], [1.997, 7.936, -5.398]],
  "species": ["La", "La", "La", "La", "La", "La", "La", "Cd", "Cd", "Ir", "Ir"],
  "frac_coords": [[0.000, 0.000, 0.000], [0.052, 0.699, 0.354], [0.324, 0.495, 0.829], [0.345, 0.699, 0.646], [0.646, 0.300, 0.346], [0.666, 0.495, 0.171], [0.953, 0.300, 0.654], [0.449, 0.949, 0.500], [0.682, 0.682, 0.000], [0.197, 0.005, 0.192], [0.814, 0.005, 0.808]],
  "e_form_mev_per_atom": -386,
  "space_group": "Imm2",
  "dos_ef_per_ev_atom": 1.175
}



No. 9
{
  "formula": "La6Cd2Ir",
  "functional": "PBE-GGA",
  "state": "optimized geometry",
  "lattice_angstrom": [[2.756, -6.635, 0.000], [2.756, 6.635, 0.000], [-2.738, 0.000, 8.047]],
  "species": ["La", "La", "La", "La", "La", "La", "Cd", "Cd", "Ir"],
  "frac_coords": [[0.119, 0.881, 0.000], [0.219, 0.499, 0.717], [0.499, 0.219, 0.717], [0.501, 0.781, 0.283], [0.781, 0.501, 0.283], [0.881, 0.119, 0.000], [0.188, 0.188, 0.378], [0.812, 0.812, 0.622], [0.500, 0.500, 0.000]],
  "e_form_mev_per_atom": -312,
  "space_group": "C2/m",
  "dos_ef_per_ev_atom": 1.188
}



No. 10
{
  "formula": "La4Cd2Ir",
  "functional": "PBE-GGA",
  "state": "optimized geometry",
  "lattice_angstrom": [[2.029, -5.511, 0.000], [2.029, 5.511, 0.000], [0.000, 0.000, 19.549]],
  "species": ["La", "La", "La", "La", "La", "La", "La", "La", "Cd", "Cd", "Cd", "Cd", "Ir", "Ir"],
  "frac_coords": [[0.000, 0.000, 0.000], [0.000, 0.000, 0.500], [0.318, 0.682, 0.750], [0.414, 0.586, 0.148], [0.414, 0.586, 0.352], [0.586, 0.414, 0.648], [0.586, 0.414, 0.852], [0.682, 0.318, 0.250], [0.290, 0.710, 0.564], [0.290, 0.710, 0.936], [0.710, 0.290, 0.064], [0.710, 0.290, 0.436], [0.035, 0.965, 0.750], [0.965, 0.035, 0.250]],
  "e_form_mev_per_atom": -323,
  "space_group": "Cmcm",
  "dos_ef_per_ev_atom": 1.029
}



No. 11
{
  "formula": "La12Cd3Ir5",
  "functional": "PBE-GGA",
  "state": "optimized geometry",
  "lattice_angstrom": [[-8.911, 8.911, 8.911], [8.911, -8.911, 8.911], [8.911, 8.911, -8.911]],
  "species": ["La", "La", "La", "La", "La", "La", "La", "La", "La", "La", "La", "La", "La", "La", "La", "La", "La", "La", "La", "La", "La", "La", "La", "La", "La", "La", "La", "La", "La", "La", "La", "La", "La", "La", "La", "La", "La", "La", "La", "La", "La", "La", "La", "La", "La", "La", "La", "La", "Cd", "Cd", "Cd", "Cd", "Cd", "Cd", "Cd", "Cd", "Cd", "Cd", "Cd", "Cd", "Ir", "Ir", "Ir", "Ir", "Ir", "Ir", "Ir", "Ir", "Ir", "Ir", "Ir", "Ir", "Ir", "Ir", "Ir", "Ir", "Ir", "Ir", "Ir", "Ir"],
  "frac_coords": [[0.030, 0.207, 0.122], [0.030, 0.323, 0.908], [0.085, 0.707, 0.677], [0.085, 0.878, 0.408], [0.092, 0.622, 0.415], [0.092, 0.970, 0.677], [0.122, 0.030, 0.207], [0.122, 0.592, 0.915], [0.177, 0.207, 0.585], [0.177, 0.470, 0.592], [0.207, 0.122, 0.030], [0.207, 0.585, 0.177], [0.293, 0.323, 0.915], [0.293, 0.470, 0.378], [0.323, 0.908, 0.030], [0.323, 0.915, 0.293], [0.378, 0.293, 0.470], [0.378, 0.585, 0.908], [0.408, 0.085, 0.878], [0.408, 0.823, 0.530], [0.415, 0.092, 0.622], [0.415, 0.823, 0.793], [0.470, 0.378, 0.293], [0.470, 0.592, 0.177], [0.530, 0.408, 0.823], [0.530, 0.622, 0.707], [0.585, 0.177, 0.207], [0.585, 0.908, 0.378], [0.592, 0.177, 0.470], [0.592, 0.915, 0.122], [0.622, 0.415, 0.092], [0.622, 0.707, 0.530], [0.677, 0.085, 0.707], [0.677, 0.092, 0.970], [0.707, 0.530, 0.622], [0.707, 0.677, 0.085], [0.793, 0.415, 0.823], [0.793, 0.878, 0.970], [0.823, 0.530, 0.408], [0.823, 0.793, 0.415], [0.878, 0.408, 0.085], [0.878, 0.970, 0.793], [0.908, 0.030, 0.323], [0.908, 0.378, 0.585], [0.915, 0.122, 0.592], [0.915, 0.293, 0.323], [0.970, 0.677, 0.092], [0.970, 0.793, 0.878], [0.125, 0.250, 0.375], [0.125, 0.375, 0.750], [0.250, 0.375, 0.125], [0.250, 0.875, 0.625], [0.375, 0.125, 0.250], [0.375, 0.750, 0.125], [0.625, 0.250, 0.875], [0.625, 0.875, 0.750], [0.750, 0.125, 0.375], [0.750, 0.625, 0.875], [0.875, 0.625, 0.250], [0.875, 0.750, 0.625], [0.000, 0.000, 0.000], [0.000, 0.000, 0.500], [0.000, 0.500, 0.000], [0.000, 0.500, 0.500], [0.125, 0.750, 0.875], [0.125, 0.875, 0.250], [0.250, 0.125, 0.875], [0.250, 0.625, 0.375], [0.375, 0.250, 0.625], [0.375, 0.625, 0.750], [0.500, 0.000, 0.000], [0.500, 0.000, 0.500], [0.500, 0.500, 0.000], [0.500, 0.500, 0.500], [0.625, 0.375, 0.250], [0.625, 0.750, 0.375], [0.750, 0.375, 0.625], [0.750, 0.875, 0.125], [0.875, 0.125, 0.750], [0.875, 0.250, 0.125]],
  "e_form_mev_per_atom": -315,
  "space_group": "Ia-3d",
  "dos_ef_per_ev_atom": 0.921
}



No. 12
{
  "formula": "LaCd4Ir",
  "functional": "PBE-GGA",
  "state": "optimized geometry",
  "lattice_angstrom": [[0.000, 4.028, 4.028], [4.028, 0.000, 4.028], [4.028, 4.028, 0.000]],
  "species": ["La", "Cd", "Cd", "Cd", "Cd", "Ir"],
  "frac_coords": [[0.000, 0.000, 0.000], [0.128, 0.624, 0.624], [0.624, 0.128, 0.624], [0.624, 0.624, 0.128], [0.624, 0.624, 0.624], [0.250, 0.250, 0.250]],
  "e_form_mev_per_atom": -63,
  "space_group": "F-43m"
}